# 1
# TlPRh2 | Alexandria via LeMat-Bulk | SCAN | PBEsol geometry
data_TlPRh2
_chemical_formula_sum 'Tl4 P4 Rh8'
_cell_length_a 6.2511
_cell_length_b 6.2511
_cell_length_c 6.2511
_cell_angle_alpha 90.00
_cell_angle_beta 90.00
_cell_angle_gamma 90.00
_symmetry_space_group_name_H-M 'F m -3 m'
_symmetry_Int_Tables_number 225
_symmetry_space_group_name_Hall '-F 4 2 3'
loop_
_atom_site_label
_atom_site_type_symbol
_atom_site_fract_x
_atom_site_fract_y
_atom_site_fract_z
Tl1 Tl 0.0000 0.0000 0.0000
P1 P 0.0000 0.0000 0.5000
Rh1 Rh 0.2500 0.2500 0.2500
# energy of formation from the pure elements: 0.24 eV/atom

# 2
# Ba2ZnCu | Alexandria via LeMat-Bulk | SCAN | PBEsol geometry
data_Ba2ZnCu
_chemical_formula_sum 'Ba2 Zn1 Cu1'
_cell_length_a 3.9436
_cell_length_b 3.9436
_cell_length_c 7.8599
_cell_angle_alpha 90.00
_cell_angle_beta 90.00
_cell_angle_gamma 90.00
_symmetry_space_group_name_H-M 'P 4/m m m'
_symmetry_Int_Tables_number 123
_symmetry_space_group_name_Hall '-P 4 2'
loop_
_atom_site_label
_atom_site_type_symbol
_atom_site_fract_x
_atom_site_fract_y
_atom_site_fract_z
Ba1 Ba 0.0000 0.0000 0.2423
Zn1 Zn 0.5000 0.5000 0.5000
Cu1 Cu 0.5000 0.5000 0.0000
# energy of formation from the pure elements: 0.00 eV/atom

# 3
# BiP2RuS | Alexandria via LeMat-Bulk | SCAN | PBEsol geometry
data_BiP2RuS
_chemical_formula_sum 'Bi1 P2 Ru1 S1'
_cell_length_a 5.0868
_cell_length_b 5.0868
_cell_length_c 5.0448
_cell_angle_alpha 90.00
_cell_angle_beta 90.00
_cell_angle_gamma 90.00
_symmetry_space_group_name_H-M 'P 4/m m m'
_symmetry_Int_Tables_number 123
_symmetry_space_group_name_Hall '-P 4 2'
loop_
_atom_site_label
_atom_site_type_symbol
_atom_site_fract_x
_atom_site_fract_y
_atom_site_fract_z
Bi1 Bi 0.0000 0.0000 0.0000
P1 P 0.0000 0.5000 0.0000
Ru1 Ru 0.5000 0.5000 0.5000
S1 S 0.0000 0.0000 0.5000
# formation energy from raw total energies: 1.904 eV per atom

# 4
# LaGaSCl2 | Alexandria via LeMat-Bulk | SCAN | PBEsol geometry
data_LaGaSCl2
_chemical_formula_sum 'La1 Ga1 S1 Cl2'
_cell_length_a 4.8718
_cell_length_b 4.8718
_cell_length_c 4.7962
_cell_angle_alpha 90.00
_cell_angle_beta 90.00
_cell_angle_gamma 90.00
_symmetry_space_group_name_H-M 'P 4/m m m'
_symmetry_Int_Tables_number 123
_symmetry_space_group_name_Hall '-P 4 2'
loop_
_atom_site_label
_atom_site_type_symbol
_atom_site_fract_x
_atom_site_fract_y
_atom_site_fract_z
La1 La 0.0000 0.0000 0.0000
Ga1 Ga 0.5000 0.5000 0.5000
S1 S 0.5000 0.5000 0.0000
Cl1 Cl 0.0000 0.5000 0.5000
# formation energy from raw total energies: -1.142 eV per atom

# 5
# CaZn2Ag2 | Alexandria via LeMat-Bulk | SCAN | PBEsol geometry
data_CaZn2Ag2
_chemical_formula_sum 'Ca2 Zn4 Ag4'
_cell_length_a 3.9908
_cell_length_b 3.9908
_cell_length_c 12.2503
_cell_angle_alpha 90.00
_cell_angle_beta 90.00
_cell_angle_gamma 90.00
_symmetry_space_group_name_H-M 'I 4/m m m'
_symmetry_Int_Tables_number 139
_symmetry_space_group_name_Hall '-I 4 2'
loop_
_atom_site_label
_atom_site_type_symbol
_atom_site_fract_x
_atom_site_fract_y
_atom_site_fract_z
Ca1 Ca 0.0000 0.0000 0.0000
Zn1 Zn 0.0000 0.5000 0.2500
Ag1 Ag 0.0000 0.0000 0.3893
# energy of formation from the pure elements: -0.18 eV/atom

# 6
# Cs2AgAuBr6 | Alexandria via LeMat-Bulk | SCAN | PBEsol geometry
data_Cs2AgAuBr6
_chemical_formula_sum 'Cs8 Ag4 Au4 Br24'
_cell_length_a 10.6705
_cell_length_b 10.6705
_cell_length_c 10.6705
_cell_angle_alpha 90.00
_cell_angle_beta 90.00
_cell_angle_gamma 90.00
_symmetry_space_group_name_H-M 'F m -3 m'
_symmetry_Int_Tables_number 225
_symmetry_space_group_name_Hall '-F 4 2 3'
loop_
_atom_site_label
_atom_site_type_symbol
_atom_site_fract_x
_atom_site_fract_y
_atom_site_fract_z
Cs1 Cs 0.2500 0.2500 0.2500
Ag1 Ag 0.0000 0.0000 0.0000
Au1 Au 0.0000 0.0000 0.5000
Br1 Br 0.0000 0.0000 0.2519
# formation energy from raw total energies: -1.003 eV per atom

# 7
# IrOs2Pt | Alexandria via LeMat-Bulk | SCAN | PBEsol geometry
data_IrOs2Pt
_chemical_formula_sum 'Ir1 Os2 Pt1'
_cell_length_a 2.7016
_cell_length_b 3.8862
_cell_length_c 5.4035
_cell_angle_alpha 90.00
_cell_angle_beta 90.00
_cell_angle_gamma 90.00
_symmetry_space_group_name_H-M 'P m m m'
_symmetry_Int_Tables_number 47
loop_
_symmetry_equiv_pos_as_xyz
'x,y,z'
'-x,-y,-z'
'-x,-y,z'
'x,y,-z'
'x,-y,-z'
'-x,y,z'
'-x,y,-z'
'x,-y,z'
loop_
_atom_site_label
_atom_site_type_symbol
_atom_site_fract_x
_atom_site_fract_y
_atom_site_fract_z
Ir1 Ir 0.0000 0.0000 0.0000
Os1 Os 0.5000 0.5000 0.2446
Pt1 Pt 0.0000 0.0000 0.5000
# energy of formation from the pure elements: 0.15 eV/atom

# 8
# Y3MnRh | Alexandria via LeMat-Bulk | SCAN | PBEsol geometry
data_Y3MnRh
_chemical_formula_sum 'Y3 Mn1 Rh1'
_cell_length_a 4.8884
_cell_length_b 4.8884
_cell_length_c 4.8884
_cell_angle_alpha 90.00
_cell_angle_beta 90.00
_cell_angle_gamma 90.00
_symmetry_space_group_name_H-M 'P m -3 m'
_symmetry_Int_Tables_number 221
_symmetry_space_group_name_Hall '-P 4 2 3'
loop_
_atom_site_label
_atom_site_type_symbol
_atom_site_fract_x
_atom_site_fract_y
_atom_site_fract_z
Y1 Y 0.0000 0.0000 0.5000
Mn1 Mn 0.0000 0.0000 0.0000
Rh1 Rh 0.5000 0.5000 0.5000
# energy of formation from the pure elements: 0.36 eV/atom

no.,VASP energy (eV/cell),D(E_F) (states/eV/atom)
1,-597.3,1.096
2,-107.8,1.109
3,-134.3,1.013
4,-90.7,0.589
5,-200.6,0.440
6,-1211.7,0.173
7,-284.4,0.926
8,-133.7,0.551